Record 1
A geometry-optimized Eu3ZnIr structure, computed with PBE.

Calculated values
**Formation energy**: -0.68 eV per formula unit
**Crystal system**: cubic

abc: 5.5934 5.5934 5.5934
angles: 90.00 90.00 90.00
Space group Pm-3m (No. 221)
Unique sites:
Eu1 0.0000 0.0000 0.5000 (multiplicity 3)
Zn1 0.5000 0.5000 0.5000 (multiplicity 1)
Ir1 0.0000 0.0000 0.0000 (multiplicity 1)

---

Record 2
A geometry-optimized CsBaI2N structure, computed with PBE.

Calculated values
**VASP energy**: -3.4430 eV per atom
**Crystal system**: tetragonal

abc: 6.9176 6.9176 5.2652
angles: 90.00 90.00 90.00
Space group P4/mmm (No. 123)
Unique sites:
Cs1 0.0000 0.0000 0.0000 (multiplicity 1)
Ba1 0.5000 0.5000 0.5000 (multiplicity 1)
I1 0.0000 0.5000 0.5000 (multiplicity 2)
N1 0.5000 0.5000 0.0000 (multiplicity 1)

---

Record 3
A geometry-optimized NpP3Rh5 structure, computed with PBE.

Calculated values
**Formation energy**: -5.68 eV per formula unit
**Crystal system**: orthorhombic

abc: 3.8797 12.1496 12.0695
angles: 90.00 90.00 90.00
Space group Cmcm (No. 63)
Unique sites:
Np1 0.0000 0.1409 0.2500 (multiplicity 4)
P1 0.0000 0.1186 0.7500 (multiplicity 4)
P2 0.0000 0.3902 0.5506 (multiplicity 8)
Rh1 0.0000 0.0000 0.0000 (multiplicity 4)
Rh2 0.0000 0.2110 0.5775 (multiplicity 8)
Rh3 0.0000 0.4374 0.1403 (multiplicity 8)

---

Record 4
A geometry-optimized Na2NpBiSe4 structure, computed with PBE.

Calculated values
**VASP energy**: -5.1310 eV per atom
**Crystal system**: monoclinic

abc: 7.3464 4.2498 7.4413
angles: 90.00 109.40 90.00
Space group P2/m (No. 10)
Unique sites:
Na1 0.0000 0.0000 0.0000 (multiplicity 1)
Na2 0.5000 0.5000 0.0000 (multiplicity 1)
Np1 0.0000 0.5000 0.5000 (multiplicity 1)
Bi1 0.5000 0.0000 0.5000 (multiplicity 1)
Se1 0.2390 0.0000 0.7323 (multiplicity 2)
Se2 0.2500 0.5000 0.2627 (multiplicity 2)

---

Record 5
A geometry-optimized YAg2Sb structure, computed with PBE.

Calculated values
**VASP energy**: -4.3477 eV per atom
**Crystal system**: tetragonal

abc: 3.9356 3.9356 6.0474
angles: 90.00 90.00 90.00
Space group P4/mmm (No. 123)
Unique sites:
Y1 0.0000 0.0000 0.0000 (multiplicity 1)
Ag1 0.5000 0.5000 0.2494 (multiplicity 2)
Sb1 0.0000 0.0000 0.5000 (multiplicity 1)

---

Record 6
A geometry-optimized La2ZnGaN structure, computed with PBE.

Calculated values
**VASP energy**: -5.1158 eV per atom
**Crystal system**: tetragonal

abc: 5.1417 5.1417 4.1682
angles: 90.00 90.00 90.00
Space group P4/mmm (No. 123)
Unique sites:
La1 0.0000 0.5000 0.0000 (multiplicity 2)
Zn1 0.0000 0.0000 0.5000 (multiplicity 1)
Ga1 0.5000 0.5000 0.5000 (multiplicity 1)
N1 0.0000 0.0000 0.0000 (multiplicity 1)

---

Record 7
A geometry-optimized MgSc6Sn structure, computed with PBE.

Calculated values
**Formation energy**: -1.65 eV per formula unit
**Crystal system**: tetragonal

abc: 4.5266 4.5266 9.1280
angles: 90.00 90.00 90.00
Space group P4/mmm (No. 123)
Unique sites:
Mg1 0.0000 0.0000 0.0000 (multiplicity 1)
Sc1 0.0000 0.5000 0.2548 (multiplicity 4)
Sc2 0.5000 0.5000 0.0000 (multiplicity 1)
Sc3 0.5000 0.5000 0.5000 (multiplicity 1)
Sn1 0.0000 0.0000 0.5000 (multiplicity 1)

---

Record 8
A geometry-optimized Th3Zn2Pd4 structure, computed with PBE.

Calculated values
**Formation energy**: -6.35 eV per formula unit
**Crystal system**: monoclinic

abc: 10.9550 4.4827 8.7016
angles: 90.00 116.19 90.00
Space group C2/m (No. 12)
Unique sites:
Th1 0.0000 0.0000 0.0000 (multiplicity 2)
Th2 0.1436 0.5000 0.6884 (multiplicity 4)
Zn1 0.1560 0.5000 0.3267 (multiplicity 4)
Pd1 0.0738 0.0000 0.3988 (multiplicity 4)
Pd2 0.2128 0.5000 0.0677 (multiplicity 4)

---

Record 9
A geometry-optimized TbCe2Te3 structure, computed with PBE.

Calculated values
**VASP energy**: -5.6720 eV per atom
**Crystal system**: orthorhombic

abc: 4.4124 6.2960 13.4539
angles: 90.00 90.00 90.00
Space group Immm (No. 71)
Unique sites:
Tb1 0.0000 0.0000 0.0000 (multiplicity 2)
Ce1 0.0000 0.0000 0.3307 (multiplicity 4)
Te1 0.0000 0.5000 0.0000 (multiplicity 2)
Te2 0.0000 0.5000 0.3388 (multiplicity 4)

---

Record 10
A geometry-optimized RbThS3 structure, computed with PBE.

Calculated values
**VASP energy**: -5.5581 eV per atom
**Crystal system**: cubic

abc: 5.5020 5.5020 5.5020
angles: 90.00 90.00 90.00
Space group Pm-3m (No. 221)
Unique sites:
Rb1 0.0000 0.0000 0.0000 (multiplicity 1)
Th1 0.5000 0.5000 0.5000 (multiplicity 1)
S1 0.0000 0.5000 0.5000 (multiplicity 3)

---

Record 11
A geometry-optimized ThMgSb structure, computed with PBE.

Calculated values
**VASP energy**: -4.5698 eV per atom
**Crystal system**: monoclinic

abc: 7.6780 4.4261 11.1509
angles: 90.00 103.23 90.00
Space group C2/m (No. 12)
Unique sites:
Th1 0.1247 0.0000 0.3742 (multiplicity 4)
Mg1 0.1955 0.5000 0.0881 (multiplicity 4)
Sb1 0.1043 0.5000 0.8120 (multiplicity 4)

---

Record 12
A geometry-optimized Be3OsC structure, computed with PBE.

Calculated values
**Formation energy**: 2.84 eV per formula unit
**Crystal system**: cubic

abc: 3.5666 3.5666 3.5666
angles: 90.00 90.00 90.00
Space group Pm-3m (No. 221)
Unique sites:
Be1 0.0000 0.0000 0.5000 (multiplicity 3)
Os1 0.5000 0.5000 0.5000 (multiplicity 1)
C1 0.0000 0.0000 0.0000 (multiplicity 1)

---

Record 13
A geometry-optimized Pm12Si6Os structure, computed with PBE.

Calculated values
**VASP energy**: -5.6671 eV per atom
**Crystal system**: trigonal

abc: 12.9620 12.9620 11.9932
angles: 90.00 90.00 120.00
Space group R-3 (No. 148, hexagonal axes)
Unique sites:
Pm1 0.0338 0.2082 0.3925 (multiplicity 18)
Pm2 0.0495 0.2057 0.8853 (multiplicity 18)
Si1 0.0489 0.2708 0.6480 (multiplicity 18)
Os1 0.0000 0.0000 0.0000 (multiplicity 3)

---

Record 14
A geometry-optimized KTl2S2 structure, computed with PBE.

Calculated values
**VASP energy**: -3.2809 eV per atom
**Crystal system**: monoclinic

abc: 8.1996 13.6712 6.6459
angles: 90.00 123.24 90.00
Space group C2/m (No. 12)
Unique sites:
K1 0.0000 0.2173 0.0000 (multiplicity 4)
Tl1 0.0000 0.3732 0.5000 (multiplicity 4)
Tl2 0.2481 0.5000 0.2784 (multiplicity 4)
S1 0.0000 0.1700 0.5000 (multiplicity 4)
S2 0.1515 0.0000 0.0814 (multiplicity 4)

---

Record 15
A geometry-optimized Pr3TmMg3 structure, computed with PBE.

Calculated values
**Formation energy**: 0.47 eV per formula unit
**Crystal system**: orthorhombic

abc: 10.8576 11.3562 7.1760
angles: 90.00 90.00 90.00
Space group Cmmm (No. 65)
Unique sites:
Pr1 0.0000 0.0000 0.2467 (multiplicity 4)
Pr2 0.2500 0.2500 0.2535 (multiplicity 8)
Tm1 0.1903 0.5000 0.0000 (multiplicity 4)
Mg1 0.0000 0.2599 0.0000 (multiplicity 4)
Mg2 0.0000 0.3174 0.5000 (multiplicity 4)
Mg3 0.2181 0.5000 0.5000 (multiplicity 4)

---

Record 16
A geometry-optimized Hf2BeGa2 structure, computed with PBE.

Calculated values
**Formation energy**: 0.29 eV per formula unit
**Crystal system**: tetragonal

abc: 6.7624 6.7624 4.1025
angles: 90.00 90.00 90.00
Space group P4/mbm (No. 127)
Unique sites:
Hf1 0.1631 0.3369 0.0000 (multiplicity 4)
Be1 0.0000 0.0000 0.0000 (multiplicity 2)
Ga1 0.1440 0.6440 0.5000 (multiplicity 4)

---

Record 17
A geometry-optimized Sr4MgAl structure, computed with PBE.

Calculated values
**Formation energy**: 3.10 eV per formula unit
**Crystal system**: cubic

abc: 10.1710 10.1710 10.1710
angles: 90.00 90.00 90.00
Space group F-43m (No. 216)
Unique sites:
Sr1 0.1246 0.1246 0.1246 (multiplicity 16)
Mg1 0.0000 0.0000 0.5000 (multiplicity 4)
Al1 0.2500 0.2500 0.7500 (multiplicity 4)

---

Record 18
A geometry-optimized BaLiIr2Br structure, computed with PBE.

Calculated values
**VASP energy**: -4.2200 eV per atom
**Crystal system**: tetragonal

abc: 4.4794 4.4794 5.7301
angles: 90.00 90.00 90.00
Space group P4/mmm (No. 123)
Unique sites:
Ba1 0.0000 0.0000 0.0000 (multiplicity 1)
Li1 0.5000 0.5000 0.5000 (multiplicity 1)
Ir1 0.0000 0.5000 0.5000 (multiplicity 2)
Br1 0.5000 0.5000 0.0000 (multiplicity 1)

---

Record 19
A geometry-optimized Er3PuAg3S8 structure, computed with PBE.

Calculated values
**VASP energy**: -5.9331 eV per atom
**Crystal system**: monoclinic

abc: 13.0839 7.9759 7.6890
angles: 90.00 122.63 90.00
Space group C2/m (No. 12)
Unique sites:
Er1 0.0000 0.0000 0.0000 (multiplicity 2)
Er2 0.2500 0.2500 0.5000 (multiplicity 4)
Pu1 0.0000 0.5000 0.0000 (multiplicity 2)
Ag1 0.0000 0.5000 0.5000 (multiplicity 2)
Ag2 0.2500 0.2500 0.0000 (multiplicity 4)
S1 0.0039 0.2514 0.2429 (multiplicity 8)
S2 0.2445 0.5000 0.2541 (multiplicity 4)
S3 0.2470 0.0000 0.2547 (multiplicity 4)

---

Record 20
A geometry-optimized Ba2ZnCdRh structure, computed with PBE.

Calculated values
**Formation energy**: -0.98 eV per formula unit
**Crystal system**: tetragonal

abc: 6.0155 6.0155 4.8908
angles: 90.00 90.00 90.00
Space group P4/mmm (No. 123)
Unique sites:
Ba1 0.0000 0.5000 0.0000 (multiplicity 2)
Zn1 0.0000 0.0000 0.5000 (multiplicity 1)
Cd1 0.5000 0.5000 0.5000 (multiplicity 1)
Rh1 0.0000 0.0000 0.0000 (multiplicity 1)

---

Record 21
A geometry-optimized CsHgIO2 structure, computed with PBE.

Calculated values
**VASP energy**: -2.5598 eV per atom
**Crystal system**: tetragonal

abc: 4.9261 4.9261 5.8167
angles: 90.00 90.00 90.00
Space group P4/mmm (No. 123)
Unique sites:
Cs1 0.0000 0.0000 0.0000 (multiplicity 1)
Hg1 0.5000 0.5000 0.5000 (multiplicity 1)
I1 0.5000 0.5000 0.0000 (multiplicity 1)
O1 0.0000 0.5000 0.5000 (multiplicity 2)

---

Record 22
A geometry-optimized BaTlNi4 structure, computed with PBE.

Calculated values
**Formation energy**: 1.02 eV per formula unit
**Crystal system**: cubic

abc: 7.4245 7.4245 7.4245
angles: 90.00 90.00 90.00
Space group F-43m (No. 216)
Unique sites:
Ba1 0.0000 0.0000 0.0000 (multiplicity 4)
Tl1 0.2500 0.2500 0.2500 (multiplicity 4)
Ni1 0.1225 0.1225 0.6225 (multiplicity 16)

---

Record 23
A geometry-optimized DyErHf structure, computed with PBE.

Calculated values
**Formation energy**: 0.50 eV per formula unit
**Crystal system**: monoclinic

abc: 3.3136 4.8767 10.2579
angles: 90.00 98.79 90.00
Space group P2_1/m (No. 11)
Unique sites:
Dy1 0.0623 0.2500 0.0991 (multiplicity 2)
Er1 0.3619 0.2500 0.7357 (multiplicity 2)
Hf1 0.2169 0.2500 0.4283 (multiplicity 2)

---

Record 24
A geometry-optimized TePSeN2 structure, computed with PBE.

Calculated values
**VASP energy**: -4.1130 eV per atom
**Crystal system**: tetragonal

abc: 3.7593 3.7593 8.2018
angles: 90.00 90.00 90.00
Space group P4/mmm (No. 123)
Unique sites:
Te1 0.0000 0.0000 0.0000 (multiplicity 1)
P1 0.5000 0.5000 0.0000 (multiplicity 1)
Se1 0.0000 0.0000 0.5000 (multiplicity 1)
N1 0.0000 0.5000 0.5000 (multiplicity 2)

---

Computed M_tot, in the same sequence as the records: 21.1, 2.0, 3.7, 4.0, 0.0, 0.0, 2.3, 0.0, 2.4, 0.0, 0.0, 0.0, 0.0, 0.0, 0.0, 0.0, 0.0, 1.9, 4.0, 0.0, 2.0, 0.4, 0.0, 0.4 μB/f.u..